## La2Th3NpN6 (PBE-GGA)

Data for crystalline La2Th3NpN6 at its relaxed geometry.

abc: 6.3385 6.3385 6.3090
angles: 99.74 99.74 119.83
Atoms (fractional coordinates):
1 La 0.1666 0.8334 0.0000
2 La 0.8334 0.1666 0.0000
3 Th 0.0000 0.0000 0.5000
4 Th 0.3336 0.6664 0.5000
5 Th 0.6664 0.3336 0.5000
6 Np 0.5000 0.5000 0.0000
7 N 0.1117 0.4173 0.7499
8 N 0.2741 0.2741 0.2635
9 N 0.4173 0.1117 0.7499
10 N 0.5827 0.8883 0.2501
11 N 0.7259 0.7259 0.7365
12 N 0.8883 0.5827 0.2501

Summary:
As for the total magnetization: 3.43 μB/f.u. The space-group type is C2/m, No. 12. The uncorrected formation energy comes out at -1.41 eV/atom. For the energy, the calculation gives -9.324 eV/atom.

---

## La2ThNpN4 (PBE-GGA)

Data for crystalline La2ThNpN4 at its relaxed geometry.

abc: 6.2827 3.6275 6.3313
angles: 90.00 109.01 90.00
Atoms (fractional coordinates):
1 La 0.0000 0.0000 0.0000
2 La 0.5000 0.5000 0.0000
3 Th 0.0000 0.5000 0.5000
4 Np 0.5000 0.0000 0.5000
5 N 0.2578 0.0000 0.7157
6 N 0.2761 0.5000 0.2880
7 N 0.7239 0.5000 0.7120
8 N 0.7422 0.0000 0.2843

Summary:
As for the total magnetization: 2.98 μB/f.u. The space-group type is P2/m, No. 10. The uncorrected formation energy comes out at -1.35 eV/atom. For the energy, the calculation gives -9.290 eV/atom.

---

## La2ThNpN5 (PBE-GGA)

Data for crystalline La2ThNpN5 at its relaxed geometry.

abc: 4.0949 4.0949 9.1487
angles: 90.00 90.00 90.00
Atoms (fractional coordinates):
1 La 0.0000 0.0000 0.2246
2 La 0.0000 0.0000 0.7754
3 Th 0.5000 0.5000 0.5000
4 Np 0.5000 0.5000 0.0000
5 N 0.0000 0.0000 0.5000
6 N 0.0000 0.5000 0.0000
7 N 0.5000 0.0000 0.0000
8 N 0.5000 0.5000 0.2519
9 N 0.5000 0.5000 0.7481

Summary:
As for the total magnetization: 1.49 μB/f.u. The space-group type is P4/mmm, No. 123. The uncorrected formation energy comes out at -1.25 eV/atom. For the energy, the calculation gives -9.229 eV/atom.

---

## LaThNpN3 (PBE-GGA)

Data for crystalline LaThNpN3 at its relaxed geometry.

abc: 7.3561 3.7618 8.7141
angles: 90.00 96.20 90.00
Atoms (fractional coordinates):
1 La 0.1522 0.2500 0.1397
2 La 0.8478 0.7500 0.8603
3 Th 0.3656 0.7500 0.8414
4 Th 0.6344 0.2500 0.1586
5 Np 0.0551 0.2500 0.5769
6 Np 0.9449 0.7500 0.4231
7 N 0.1163 0.2500 0.8470
8 N 0.2167 0.7500 0.5790
9 N 0.4034 0.7500 0.1149
10 N 0.5966 0.2500 0.8851
11 N 0.7833 0.2500 0.4210
12 N 0.8837 0.7500 0.1530

Summary:
As for the total magnetization: 0.48 μB/f.u. The space-group type is P2_1/m, No. 11. The uncorrected formation energy comes out at -1.06 eV/atom. For the energy, the calculation gives -9.435 eV/atom.

---

## La2NpTiN5 (PBE-GGA)

Data for crystalline La2NpTiN5 at its relaxed geometry.

abc: 7.2535 7.2535 10.7094
angles: 90.00 90.00 151.89
Atoms (fractional coordinates):
1 La 0.1066 0.8934 0.5000
2 La 0.1357 0.8643 0.1002
3 La 0.8643 0.1357 0.6002
4 La 0.8934 0.1066 0.0000
5 Np 0.2120 0.7880 0.8153
6 Np 0.7880 0.2120 0.3153
7 Ti 0.4868 0.5132 0.2711
8 Ti 0.5132 0.4868 0.7711
9 N 0.0525 0.9475 0.8392
10 N 0.2793 0.7207 0.4458
11 N 0.3063 0.6937 0.1928
12 N 0.3745 0.6255 0.8129
13 N 0.4935 0.5065 0.5964
14 N 0.5065 0.4935 0.0964
15 N 0.6255 0.3745 0.3129
16 N 0.6937 0.3063 0.6928
17 N 0.7207 0.2793 0.9458
18 N 0.9475 0.0525 0.3392

Summary:
As for the total magnetization: 1.99 μB/f.u. The space-group type is Cmc2_1, No. 36. The uncorrected formation energy comes out at -1.35 eV/atom. For the energy, the calculation gives -9.383 eV/atom.

---

## LaNpTiN3 (PBE-GGA)

Data for crystalline LaNpTiN3 at its relaxed geometry.

abc: 7.2912 3.5760 7.8343
angles: 90.00 98.63 90.00
Atoms (fractional coordinates):
1 La 0.1660 0.2500 0.1717
2 La 0.8340 0.7500 0.8283
3 Np 0.3622 0.7500 0.8370
4 Np 0.6378 0.2500 0.1630
5 Ti 0.1070 0.2500 0.5987
6 Ti 0.8930 0.7500 0.4013
7 N 0.1190 0.2500 0.8518
8 N 0.1648 0.7500 0.5113
9 N 0.4204 0.7500 0.1198
10 N 0.5796 0.2500 0.8802
11 N 0.8352 0.2500 0.4887
12 N 0.8810 0.7500 0.1482

Summary:
As for the total magnetization: 3.76 μB/f.u. The space-group type is P2_1/m, No. 11. The uncorrected formation energy comes out at -1.13 eV/atom. For the energy, the calculation gives -9.586 eV/atom.

---

What is the total magnetization in the second record?
2.98 μB/f.u.

---

The highest energy belongs to which entry?
La2ThNpN5

---

What is the uncorrected formation energy in the third record?
-1.25 eV/atom

---

What did the sixth record say?
## LaNpTiN3 (PBE-GGA)

Data for crystalline LaNpTiN3 at its relaxed geometry.

abc: 7.2912 3.5760 7.8343
angles: 90.00 98.63 90.00
Atoms (fractional coordinates):
1 La 0.1660 0.2500 0.1717
2 La 0.8340 0.7500 0.8283
3 Np 0.3622 0.7500 0.8370
4 Np 0.6378 0.2500 0.1630
5 Ti 0.1070 0.2500 0.5987
6 Ti 0.8930 0.7500 0.4013
7 N 0.1190 0.2500 0.8518
8 N 0.1648 0.7500 0.5113
9 N 0.4204 0.7500 0.1198
10 N 0.5796 0.2500 0.8802
11 N 0.8352 0.2500 0.4887
12 N 0.8810 0.7500 0.1482

Summary:
As for the total magnetization: 3.76 μB/f.u. The space-group type is P2_1/m, No. 11. The uncorrected formation energy comes out at -1.13 eV/atom. For the energy, the calculation gives -9.586 eV/atom.